K2RbSmV2O8 | the Alexandria database | PBE with a Hubbard U | optimized geometry; SG = P-3m1 (164); E = -94.8 eV for the cell shown; density = 3.58 g/cm³; Fermi-level density of states = 0.00 states/eV/f.u.
1.0
6.0965 0.0000 0.0000
-3.0483 5.2797 0.0000
0.0000 0.0000 7.8464
K Rb Sm V O
2 1 1 2 8
direct
0.3333 0.6667 0.1979 K
0.6667 0.3333 0.8021 K
0.0000 0.0000 0.5000 Rb
0.0000 0.0000 0.0000 Sm
0.3333 0.6667 0.7448 V
0.6667 0.3333 0.2552 V
0.1765 0.3530 0.8232 O
0.1765 0.8235 0.8232 O
0.3333 0.6667 0.5302 O
0.3530 0.1765 0.1768 O
0.6470 0.8235 0.8232 O
0.6667 0.3333 0.4698 O
0.8235 0.1765 0.1768 O
0.8235 0.6470 0.1768 O